1.
First-principles (GGA-PBEsol) data for a relaxed structure of LiCo2Mo, as listed in Alexandria via LeMat-Bulk.

Crystal system = tetragonal
M_tot = 0.00 μB per atom
DFT total energy = -28.21 eV per formula unit
Energy above the most stable polymorph in this dataset = 0 meV/atom

Cell: 2.7668 4.0959 4.0959 Å, 90.00 90.00 90.00°
Fractional positions:
Co1 0.0000 0.0000 0.5000
Co2 0.0000 0.5000 0.0000
Li1 0.5000 0.5000 0.5000
Mo1 0.5000 0.0000 0.0000


2.
First-principles (GGA-PBEsol) data for a relaxed structure of Ag2P2PdO7, as listed in Alexandria via LeMat-Bulk.

Crystal system = monoclinic
Raw formation energy = -1.3659 eV per atom
M_tot = 0.00 μB per atom
DFT total energy = -77.30 eV per formula unit

Cell: 5.5006 8.5325 8.5997 Å, 119.62 108.65 90.00°
Fractional positions:
Ag1 0.5097 0.2068 0.5026
Ag2 0.0071 0.2932 0.4974
Ag3 0.4903 0.7932 0.4974
Ag4 0.9929 0.7068 0.5026
P1 0.2419 0.1475 0.7939
P2 0.4479 0.3525 0.2061
P3 0.7581 0.8525 0.2061
P4 0.5521 0.6475 0.7939
Pd1 0.0000 0.0000 0.0000
Pd2 0.0000 0.5000 0.0000
O1 0.7160 0.4306 0.3624
O2 0.3535 0.0694 0.6376
O3 0.2840 0.5694 0.6376
O4 0.6465 0.9306 0.3624
O5 0.4806 0.2500 0.0000
O6 0.5194 0.7500 0.0000
O7 0.2997 0.2038 0.2141
O8 0.0855 0.2962 0.7859
O9 0.7003 0.7962 0.7859
O10 0.9145 0.7038 0.2141
O11 0.7015 0.4913 0.7861
O12 0.9154 0.0087 0.2139
O13 0.2985 0.5087 0.2139
O14 0.0846 0.9913 0.7861


3.
First-principles (GGA-PBEsol) data for a relaxed structure of Cs2RbLaCl6, as listed in Alexandria via LeMat-Bulk.

Crystal system = cubic
Raw formation energy = -2.1164 eV per atom
M_tot = 0.00 μB per atom
DFT total energy = -41.47 eV per formula unit

Cell: 8.2084 8.2084 8.2084 Å, 60.00 60.00 60.00°
Fractional positions:
Cs1 0.7500 0.7500 0.7500
Cs2 0.2500 0.2500 0.2500
Cl1 0.7640 0.2360 0.2360
Cl2 0.7640 0.7640 0.2360
Cl3 0.2360 0.7640 0.7640
Cl4 0.7640 0.2360 0.7640
Cl5 0.2360 0.7640 0.2360
Cl6 0.2360 0.2360 0.7640
Rb1 0.5000 0.5000 0.5000
La1 0.0000 0.0000 0.0000


4.
First-principles (GGA-PBEsol) data for a relaxed structure of Tl2HgBr, as listed in Alexandria via LeMat-Bulk.

Crystal system = cubic
Raw formation energy = -0.1530 eV per atom
M_tot = 0.00 μB per atom
DFT total energy = -8.31 eV per formula unit
Energy above the most stable polymorph in this dataset = 151 meV/atom

Cell: 5.4303 5.4303 5.4303 Å, 60.00 60.00 60.00°
Fractional positions:
Tl1 0.0000 0.0000 0.0000
Tl2 0.7500 0.7500 0.7500
Hg1 0.2500 0.2500 0.2500
Br1 0.5000 0.5000 0.5000


5.
First-principles (GGA-PBEsol) data for a relaxed structure of Rb2Se5, as listed in Alexandria via LeMat-Bulk.

Crystal system = orthorhombic
Raw formation energy = -0.5666 eV per atom
M_tot = 0.00 μB per atom
DFT total energy = -25.27 eV per formula unit

Cell: 6.6390 7.1471 17.9100 Å, 90.00 90.00 90.00°
Fractional positions:
Rb1 0.3880 0.4154 0.4921
Rb2 0.8880 0.0846 0.5079
Rb3 0.1120 0.5846 0.9921
Rb4 0.6120 0.9154 0.0079
Rb5 0.9116 0.2589 0.1615
Rb6 0.4116 0.2411 0.8385
Rb7 0.5884 0.7411 0.6615
Rb8 0.0884 0.7589 0.3385
Se1 0.3960 0.9229 0.4853
Se2 0.8960 0.5771 0.5147
Se3 0.1040 0.0771 0.9853
Se4 0.6040 0.4229 0.0147
Se5 0.5735 0.8724 0.3737
Se6 0.0735 0.6276 0.6263
Se7 0.9265 0.1276 0.8737
Se8 0.4265 0.3724 0.1263
Se9 0.5257 0.1461 0.2980
Se10 0.0257 0.3539 0.7020
Se11 0.9743 0.8539 0.7980
Se12 0.4743 0.6461 0.2020
Se13 0.7567 0.3708 0.3505
Se14 0.2567 0.1292 0.6495
Se15 0.7433 0.6292 0.8505
Se16 0.2433 0.8708 0.1495
Se17 0.0957 0.2596 0.3356
Se18 0.5957 0.2404 0.6644
Se19 0.4043 0.7404 0.8356
Se20 0.9043 0.7596 0.1644


6.
First-principles (GGA-PBEsol) data for a relaxed structure of LiAl5, as listed in Alexandria via LeMat-Bulk.

Crystal system = monoclinic
M_tot = 0.00 μB per atom
DFT total energy = -22.50 eV per formula unit
Energy above the most stable polymorph in this dataset = 29 meV/atom

Cell: 2.8452 5.4327 6.8055 Å, 105.75 90.00 105.18°
Fractional positions:
Al1 0.0033 0.0066 0.0029
Al2 0.3313 0.6626 0.6718
Al3 0.6694 0.3387 0.3340
Al4 0.6082 0.2164 0.7161
Al5 0.9425 0.8851 0.3870
Li1 0.2786 0.5573 0.0548


7.
First-principles (GGA-PBEsol) data for a relaxed structure of Ca2CdHg, as listed in Alexandria via LeMat-Bulk.

Crystal system = orthorhombic
M_tot = 0.00 μB per atom
DFT total energy = -7.39 eV per formula unit
Energy above the most stable polymorph in this dataset = 151 meV/atom

Cell: 3.8939 4.0087 7.0594 Å, 90.00 90.00 90.00°
Fractional positions:
Ca1 0.0000 0.0000 0.9463
Ca2 0.5000 0.5000 0.3005
Hg1 0.5000 0.5000 0.7483
Cd1 0.0000 0.0000 0.5049


8.
First-principles (GGA-PBEsol) data for a relaxed structure of MnHO2, as listed in Alexandria via LeMat-Bulk.

Crystal system = orthorhombic
M_tot = 1.00 μB per atom
DFT total energy = -29.08 eV per formula unit

Cell: 2.9607 5.0080 4.3581 Å, 90.00 90.00 90.00°
Last column: magnetic moment on the atom in μB.
Fractional positions:
H1 0.0000 0.6749 0.7966  0.01
H2 0.5000 0.1749 0.2034  0.01
Mn1 0.0000 0.1898 0.7319  3.74
Mn2 0.5000 0.6898 0.2681  3.74
O1 0.5000 0.3343 0.4914  0.05
O2 0.0000 0.8343 0.5086  0.05
O3 0.5000 0.0521 0.0068  0.04
O4 0.0000 0.5521 0.9932  0.04